First-principles (PBE) data for crystalline Er7TmCo2 at its relaxed geometry, as listed in Alexandria via LeMat-Bulk.

- M_tot: 0.00 μB/cell
- Symmetry: Cmmm, No. 65

Unit cell a=8.022 b=8.022 c=5.049 alpha=90.00 beta=90.00 gamma=114.81
Fractional coordinates of all 10 atoms:
Er 0.000 0.000 0.000
Er 0.172 0.442 0.000
Er 0.203 0.797 0.500
Er 0.442 0.172 0.000
Er 0.558 0.828 0.000
Er 0.797 0.203 0.500
Er 0.828 0.558 0.000
Tm 0.500 0.500 0.500
Co 0.205 0.795 0.000
Co 0.795 0.205 0.000

First-principles (PBE) data for crystalline ErTm6Co2 at its relaxed geometry, as listed in Alexandria via LeMat-Bulk.

- M_tot: 0.00 μB/cell
- Symmetry: Immm, No. 71

Unit cell a=8.378 b=8.378 c=8.378 alpha=111.84 beta=109.54 gamma=107.07
Fractional coordinates of all 18 atoms:
Er 0.000 0.000 0.000
Er 0.500 0.500 0.000
Tm 0.028 0.243 0.785
Tm 0.185 0.286 0.471
Tm 0.185 0.714 0.900
Tm 0.319 0.004 0.686
Tm 0.319 0.633 0.314
Tm 0.457 0.243 0.215
Tm 0.543 0.757 0.785
Tm 0.681 0.367 0.686
Tm 0.681 0.996 0.314
Tm 0.815 0.286 0.100
Tm 0.815 0.714 0.529
Tm 0.972 0.757 0.215
Co 0.114 0.614 0.500
Co 0.308 0.000 0.308
Co 0.692 0.000 0.692
Co 0.886 0.386 0.500

First-principles (PBE) data for crystalline Er4Tm3Co2 at its relaxed geometry, as listed in Alexandria via LeMat-Bulk.

- M_tot: 0.00 μB/cell
- Symmetry: C2/m, No. 12

Unit cell a=8.238 b=8.238 c=8.808 alpha=112.46 beta=112.46 gamma=25.00
Fractional coordinates of all 9 atoms:
Er 0.136 0.136 0.394
Er 0.271 0.271 0.852
Er 0.729 0.729 0.148
Er 0.864 0.864 0.606
Tm 0.428 0.428 0.307
Tm 0.500 0.500 0.000
Tm 0.572 0.572 0.693
Co 0.118 0.118 0.937
Co 0.882 0.882 0.063

First-principles (PBE) data for crystalline Er3TmCo2 at its relaxed geometry, as listed in Alexandria via LeMat-Bulk.

- E above lowest polymorph: 0.092 eV per atom
- M_tot: 0.00 μB/cell
- Symmetry: Ibam, No. 72

Unit cell a=8.045 b=8.045 c=8.045 alpha=132.67 beta=71.58 gamma=129.66
Fractional coordinates of all 12 atoms:
Er 0.016 0.750 0.266
Er 0.250 0.250 0.000
Er 0.484 0.750 0.734
Er 0.516 0.250 0.266
Er 0.750 0.750 0.000
Er 0.984 0.250 0.734
Tm 0.000 0.500 0.500
Tm 0.500 0.000 0.500
Co 0.136 0.220 0.356
Co 0.364 0.720 0.083
Co 0.636 0.280 0.917
Co 0.864 0.780 0.644

First-principles (PBE) data for crystalline ErTm2Co3 at its relaxed geometry, as listed in Alexandria via LeMat-Bulk.

- M_tot: 0.94 μB/cell
- Symmetry: P4/mmm, No. 123

Unit cell a=3.306 b=3.306 c=9.800 alpha=90.00 beta=90.00 gamma=90.00
Fractional coordinates of all 6 atoms:
Er 0.000 0.000 0.000
Tm 0.000 0.000 0.334
Tm 0.000 0.000 0.666
Co 0.500 0.500 0.168
Co 0.500 0.500 0.500
Co 0.500 0.500 0.832

First-principles (PBE) data for crystalline ErTm2Co at its relaxed geometry, as listed in Alexandria via LeMat-Bulk.

- E above lowest polymorph: 0.111 eV per atom
- M_tot: 0.97 μB/cell
- Symmetry: P4/mmm, No. 123

Unit cell a=3.354 b=3.354 c=8.665 alpha=90.00 beta=90.00 gamma=90.00
Fractional coordinates of all 4 atoms:
Er 0.000 0.000 0.000
Tm 0.500 0.500 0.316
Tm 0.500 0.500 0.684
Co 0.000 0.000 0.500

First-principles (PBE) data for crystalline ErTm8Co2 at its relaxed geometry, as listed in Alexandria via LeMat-Bulk.

- M_tot: 0.00 μB/cell
- Symmetry: C2/m, No. 12

Unit cell a=7.310 b=7.310 c=6.304 alpha=91.04 beta=91.04 gamma=65.13
Fractional coordinates of all 11 atoms:
Er 0.000 0.000 0.000
Tm 0.133 0.555 0.813
Tm 0.136 0.136 0.575
Tm 0.384 0.384 0.294
Tm 0.445 0.867 0.187
Tm 0.555 0.133 0.813
Tm 0.616 0.616 0.706
Tm 0.864 0.864 0.425
Tm 0.867 0.445 0.187
Co 0.215 0.215 0.003
Co 0.785 0.785 0.997

First-principles (PBE) data for crystalline Er3TmCo at its relaxed geometry, as listed in Alexandria via LeMat-Bulk.

- E above lowest polymorph: 0.000 eV per atom
- M_tot: 0.00 μB/cell
- Symmetry: P2_1/m, No. 11

Unit cell a=5.944 b=7.539 c=6.197 alpha=90.00 beta=91.13 gamma=90.00
Fractional coordinates of all 10 atoms:
Er 0.244 0.250 0.159
Er 0.250 0.501 0.673
Er 0.250 0.999 0.673
Er 0.750 0.001 0.327
Er 0.750 0.499 0.327
Er 0.756 0.750 0.841
Tm 0.244 0.750 0.161
Tm 0.756 0.250 0.839
Co 0.001 0.250 0.500
Co 0.999 0.750 0.500

Let's list DFT formation energy in order: 0.081; -0.093; -0.125; -0.096; -0.215; -0.086; 0.004; -0.060 eV per atom.